No. 1
First-principles (PBE) data for Zr2ReTcPd after structural relaxation, as listed in the Alexandria database.

```
Zr2ReTcPd
1.0
-4.394 0.390 -2.234
-2.082 -0.208 4.057
0.245 4.924 0.378
Re Zr Pd Tc
1 2 1 1
Direct
0.500 0.500 0.500 Re
0.500 0.000 0.000 Zr
0.000 0.000 0.500 Zr
0.000 0.000 0.000 Pd
0.000 0.500 0.000 Tc
```

## Properties
Calculated formation energy: 1.43 eV/atom
Symmetry: No. 123
Electronic total energy: -37.96 eV/cell


No. 2
First-principles (PBE) data for LiAc2InPd6 after structural relaxation, as listed in the Alexandria database.

```
LiAc2InPd6
1.0
-1.833 -1.518 -8.324
-5.196 -1.658 1.447
-4.993 2.592 -3.970
Ac Pd In Li
2 6 1 1
Direct
0.293 0.755 0.489 Ac
0.707 0.245 0.511 Ac
0.736 0.738 0.013 Pd
0.737 0.251 0.011 Pd
0.917 0.749 0.505 Pd
0.083 0.251 0.495 Pd
0.264 0.262 0.987 Pd
0.263 0.749 0.989 Pd
0.000 0.000 0.000 In
0.500 0.500 0.000 Li
```

## Properties
Calculated formation energy: -0.62 eV/atom
Symmetry: No. 2
Electronic total energy: -50.21 eV/cell


No. 3
First-principles (PBE) data for Ba3NdTi2O8 after structural relaxation, as listed in the Alexandria database.

```
Ba3NdTi2O8
1.0
6.091 0.000 0.000
-3.045 5.275 0.000
0.000 0.000 7.854
Ti Ba O Nd
2 3 8 1
Direct
0.333 0.667 0.208 Ti
0.667 0.333 0.792 Ti
0.333 0.667 0.667 Ba
0.667 0.333 0.333 Ba
0.000 0.000 0.000 Ba
0.172 0.343 0.305 O
0.333 0.667 0.980 O
0.657 0.828 0.305 O
0.828 0.172 0.695 O
0.667 0.333 0.020 O
0.172 0.828 0.305 O
0.828 0.657 0.695 O
0.343 0.172 0.695 O
0.000 0.000 0.500 Nd
```

## Properties
Formation energy from raw total energies: -41.07 eV/f.u.
Symmetry: No. 164
Electronic total energy: -107.06 eV/cell


No. 4
First-principles (PBE) data for La2ZrU2Ru5 after structural relaxation, as listed in the Alexandria database.

```
La2ZrU2Ru5
1.0
3.483 0.000 0.000
0.000 10.813 0.000
0.000 0.000 10.813
U Ru Zr La
4 10 2 4
Direct
0.000 0.356 0.144 U
0.000 0.144 0.644 U
0.000 0.644 0.856 U
0.000 0.856 0.356 U
0.500 0.796 0.947 Ru
0.500 0.447 0.296 Ru
0.500 0.204 0.053 Ru
0.500 0.500 0.000 Ru
0.500 0.000 0.500 Ru
0.500 0.704 0.447 Ru
0.500 0.296 0.553 Ru
0.500 0.553 0.704 Ru
0.500 0.947 0.204 Ru
0.500 0.053 0.796 Ru
0.000 0.500 0.500 Zr
0.000 0.000 0.000 Zr
0.000 0.828 0.672 La
0.000 0.328 0.828 La
0.000 0.672 0.172 La
0.000 0.172 0.328 La
```

## Properties
Calculated formation energy: -0.22 eV/atom
Symmetry: No. 127
Electronic total energy: -179.17 eV/cell